SrYGa (PBE-GGA, relaxed); energy above the lowest structure with this stoichiometry = 0.34 eV per formula unit; calculated total energy = -3.98 eV/atom; density = 4.33 g/cm3; M_tot = 0.00 μB/cell; energy of formation from the pure elements = -252 meV per atom; D(E_F) = 2.57 states/eV/f.u.
1.0
3.721 0.000 0.000
0.000 3.721 0.000
0.000 0.000 13.634
Sr Y Ga
2 2 2
Direct
0.000 0.000 0.149
0.000 0.000 0.851
0.500 0.500 0.378
0.500 0.500 0.622
0.000 0.000 0.500
0.500 0.500 0.000